A plane-wave DFT calculation with GGA-PBE was carried out for crystalline LiCa2GeRh at its relaxed geometry.

```
5
Lattice="5.486 0.000 0.000 0.000 5.486 0.000 0.000 0.000 4.742" Properties=species:S:1:pos:R:3 pbc="T T T"
Li 0.000 0.000 0.000
Ca 0.000 2.743 2.371
Ca 2.743 0.000 2.371
Ge 2.743 2.743 0.000
Rh 2.743 2.743 2.371
```

Its formation energy is -0.30 eV/atom. As for the space group: P4/mmm.

A plane-wave DFT calculation with GGA-PBE was carried out for crystalline LiTa2Re at its relaxed geometry.

```
16
Lattice="6.348 0.000 0.000 0.000 6.348 0.000 0.000 0.000 6.348" Properties=species:S:1:pos:R:3 pbc="T T T"
Li 0.000 0.000 0.000
Li 0.000 3.174 3.174
Li 3.174 0.000 3.174
Li 3.174 3.174 0.000
Ta 0.000 0.000 3.174
Ta 0.000 3.174 0.000
Ta 1.587 1.587 1.587
Ta 1.587 4.761 4.761
Ta 3.174 0.000 0.000
Ta 3.174 3.174 3.174
Ta 4.761 1.587 4.761
Ta 4.761 4.761 1.587
Re 1.587 1.587 4.761
Re 1.587 4.761 1.587
Re 4.761 1.587 1.587
Re 4.761 4.761 4.761
```

Its formation energy is 0.29 eV/atom. As for the space group: F-43m.

A plane-wave DFT calculation with GGA-PBE was carried out for crystalline SiMo2Rh at its relaxed geometry.

```
8
Lattice="10.027 0.000 0.000 0.000 2.878 0.000 -1.997 0.000 4.020" Properties=species:S:1:pos:R:3 pbc="T T T"
Si 0.000 0.000 0.000
Si 5.013 1.439 0.000
Mo 1.161 0.000 3.104
Mo 3.881 0.000 1.946
Mo 6.174 1.439 3.104
Mo 8.895 1.439 1.946
Rh 1.717 1.439 0.874
Rh 6.730 0.000 0.874
```

As for the space group: Cm. For the formation energy from raw total energies, the calculation gives -0.24 eV per atom.

A plane-wave DFT calculation with GGA-PBE was carried out for crystalline Sm3HgAu5 at its relaxed geometry.

```
18
Lattice="8.824 0.000 0.000 -4.412 7.642 0.000 0.000 0.000 6.194" Properties=species:S:1:pos:R:3 pbc="T T T"
Sm -1.530 2.650 1.548
Sm -2.882 4.992 4.645
Sm 3.060 0.000 1.548
Sm 1.530 2.650 4.645
Sm 5.764 0.000 4.645
Sm 2.882 4.992 1.548
Hg 0.000 0.000 0.000
Hg 0.000 0.000 3.097
Au -1.423 2.465 4.645
Au -2.989 5.177 1.548
Au 2.847 0.000 4.645
Au 1.423 2.465 1.548
Au 0.000 5.095 0.000
Au 0.000 5.095 3.097
Au 4.412 2.547 0.000
Au 4.412 2.547 3.097
Au 5.977 0.000 1.548
Au 2.989 5.177 4.645
```

The energy above the lowest structure with this stoichiometry comes out at 0 meV/atom. Its formation energy is -0.72 eV/atom. As for the space group: P6_3/mcm.

A plane-wave DFT calculation with GGA-PBE was carried out for crystalline Li2CoPbCl6 at its relaxed geometry.

```
10
Lattice="3.297 1.904 6.032 -3.297 1.904 6.032 0.000 -3.807 6.032" Properties=species:S:1:pos:R:3 pbc="T T T"
Li 0.000 0.000 0.000
Li 0.000 0.000 8.800
Co 0.000 0.000 12.447
Pb 0.000 0.000 3.573
Cl -1.176 -1.903 7.644
Cl -1.910 -0.225 10.881
Cl -1.060 1.970 7.644
Cl 1.150 -1.542 10.881
Cl 2.236 -0.067 7.644
Cl 0.760 1.767 10.881
```

As for the space group: R3. For the formation energy from raw total energies, the calculation gives -1.18 eV per atom.

A plane-wave DFT calculation with GGA-PBE was carried out for crystalline DyErGe2 at its relaxed geometry.

```
8
Lattice="3.957 0.000 0.000 0.000 4.260 0.000 0.000 0.000 10.684" Properties=species:S:1:pos:R:3 pbc="T T T"
Dy 0.000 0.000 0.000
Dy 0.000 2.130 5.342
Er 1.978 0.000 7.738
Er 1.978 2.130 2.396
Ge 0.000 0.000 2.947
Ge 0.000 2.130 8.289
Ge 1.978 0.000 4.787
Ge 1.978 2.130 10.129
```

The energy above the lowest structure with this stoichiometry comes out at 0 meV/atom. Its formation energy is -0.86 eV/atom. As for the space group: Amm2.

Number 1: density of states at the Fermi level 2.37 states/eV/cell, V 28.5 Å³/atom, spin magnetization 0.00 μB per atom. Number 2: density of states at the Fermi level 15.62 states/eV/cell, V 16.0 Å³/atom, spin magnetization 0.00 μB per atom. Number 3: density of states at the Fermi level 5.33 states/eV/cell, V 14.5 Å³/atom, spin magnetization 0.00 μB per atom. Number 4: density of states at the Fermi level 8.42 states/eV/cell, V 23.2 Å³/atom, spin magnetization 0.00 μB per atom. Number 5: density of states at the Fermi level 0.95 states/eV/cell, V 22.7 Å³/atom, spin magnetization 0.30 μB per atom. Number 6: density of states at the Fermi level 5.21 states/eV/cell, V 22.5 Å³/atom, spin magnetization 0.00 μB per atom.